No. 1
A plane-wave DFT calculation with PBE was carried out for a geometry-optimized CoCuRu2 structure.

Unit cell a=5.246 b=7.419 c=2.624 alpha=90.00 beta=90.00 gamma=90.00
Space group Cmmm (No. 65)
Symmetry-distinct sites (fractional):
Co 0.000 0.000 0.000 (multiplicity 2)
Cu 0.000 0.500 0.000 (multiplicity 2)
Ru 0.250 0.250 0.500 (multiplicity 4)

Summary:
crystal system = orthorhombic
polymorph energy (0 for the lowest one) = 0.45 eV per formula unit
E_form = 315 meV per atom
theoretical density = 10.56 g cm⁻³


No. 2
A plane-wave DFT calculation with PBE was carried out for a geometry-optimized Co2CuRu structure.

Unit cell a=2.597 b=3.571 c=5.102 alpha=90.00 beta=90.00 gamma=90.00
Space group Pmmm (No. 47)
Symmetry-distinct sites (fractional):
Co 0.000 0.000 0.249 (multiplicity 2)
Cu 0.500 0.500 0.500 (multiplicity 1)
Ru 0.500 0.500 0.000 (multiplicity 1)

Summary:
crystal system = orthorhombic
polymorph energy (0 for the lowest one) = 0.11 eV per formula unit
E_form = 207 meV per atom
theoretical density = 9.92 g cm⁻³


No. 3
A plane-wave DFT calculation with PBE was carried out for a geometry-optimized Co2CuRu structure.

Unit cell a=3.977 b=2.549 c=9.549 alpha=90.00 beta=90.00 gamma=90.00
Space group Amm2 (No. 38)
Symmetry-distinct sites (fractional):
Co 0.000 0.000 0.000 (multiplicity 2)
Co 0.500 0.000 0.131 (multiplicity 2)
Cu 0.000 0.000 0.739 (multiplicity 2)
Ru 0.500 0.000 0.391 (multiplicity 2)

Summary:
crystal system = orthorhombic
polymorph energy (0 for the lowest one) = 0.21 eV per formula unit
E_form = 233 meV per atom
theoretical density = 9.69 g cm⁻³


No. 4
A plane-wave DFT calculation with PBE was carried out for a geometry-optimized Co2Cu2Ru structure.

Unit cell a=6.828 b=6.828 c=2.612 alpha=90.00 beta=90.00 gamma=90.00
Space group P4/mbm (No. 127)
Symmetry-distinct sites (fractional):
Co 0.174 0.326 0.000 (multiplicity 4)
Cu 0.125 0.625 0.500 (multiplicity 4)
Ru 0.000 0.000 0.500 (multiplicity 2)

Summary:
crystal system = tetragonal
polymorph energy (0 for the lowest one) = 0.00 eV per formula unit
E_form = 406 meV per atom
theoretical density = 9.44 g cm⁻³


No. 5
A plane-wave DFT calculation with PBE was carried out for a geometry-optimized Co2CuRu structure.

Unit cell a=2.671 b=4.313 c=8.633 alpha=90.00 beta=90.00 gamma=90.00
Space group Cmm2 (No. 35)
Symmetry-distinct sites (fractional):
Co 0.000 0.000 0.000 (multiplicity 2)
Co 0.000 0.500 0.231 (multiplicity 2)
Cu 0.000 0.000 0.478 (multiplicity 2)
Ru 0.000 0.500 0.744 (multiplicity 2)

Summary:
crystal system = orthorhombic
polymorph energy (0 for the lowest one) = 0.42 eV per formula unit
E_form = 286 meV per atom
theoretical density = 9.43 g cm⁻³


No. 6
A plane-wave DFT calculation with PBE was carried out for a geometry-optimized Co2CuRu structure.

Unit cell a=5.813 b=5.813 c=5.813 alpha=90.00 beta=90.00 gamma=90.00
Space group Fm-3m (No. 225)
Symmetry-distinct sites (fractional):
Co 0.250 0.250 0.250 (multiplicity 8)
Cu 0.000 0.000 0.000 (multiplicity 4)
Ru 0.000 0.000 0.500 (multiplicity 4)

Summary:
crystal system = cubic
polymorph energy (0 for the lowest one) = 0.36 eV per formula unit
E_form = 270 meV per atom
theoretical density = 9.55 g cm⁻³


No. 7
A plane-wave DFT calculation with PBE was carried out for a geometry-optimized CoCuRu2 structure.

Unit cell a=2.635 b=3.719 c=5.186 alpha=90.00 beta=90.00 gamma=90.00
Space group Pmmm (No. 47)
Symmetry-distinct sites (fractional):
Co 0.000 0.000 0.000 (multiplicity 1)
Cu 0.000 0.000 0.500 (multiplicity 1)
Ru 0.500 0.500 0.247 (multiplicity 2)

Summary:
crystal system = orthorhombic
polymorph energy (0 for the lowest one) = 0.29 eV per formula unit
E_form = 278 meV per atom
theoretical density = 10.61 g cm⁻³


No. 8
A plane-wave DFT calculation with PBE was carried out for a geometry-optimized Co2CuRu structure.

Unit cell a=3.641 b=3.641 c=7.361 alpha=90.00 beta=90.00 gamma=90.00
Space group I-4m2 (No. 119)
Symmetry-distinct sites (fractional):
Co 0.000 0.000 0.000 (multiplicity 2)
Co 0.000 0.500 0.250 (multiplicity 2)
Cu 0.000 0.500 0.750 (multiplicity 2)
Ru 0.000 0.000 0.500 (multiplicity 2)

Summary:
crystal system = tetragonal
polymorph energy (0 for the lowest one) = 0.26 eV per formula unit
E_form = 245 meV per atom
theoretical density = 9.61 g cm⁻³


What is the theoretical density in the sixth record?
9.55 g cm⁻³


What is the formula in the fifth record?
Co2CuRu


E_form of number 5 (Co2CuRu)?
286 meV per atom